Computed, not measured: LaTi3Mo after structural relaxation at the PBE level of DFT.

Computed properties:
The total magnetization comes out at 1.8 μB per cell. The calculation puts the density at 5.9 g/cm³. The crystal system is cubic. As for the formation energy: 36.96 kcal/mol of atoms.

a = 4.7330 Å, b = 4.7330 Å, c = 4.7330 Å
α = 90.00°, β = 90.00°, γ = 90.00°
With the nearest neighbours (Å) after each atom.
Space group Pm-3m (No. 221)
Asymmetric unit:
La (0.0000, 0.0000, 0.0000) [1 per cell]  6 Ti 2.37
Ti (0.0000, 0.0000, 0.5000) [3 per cell]  2 La 2.37
Mo (0.5000, 0.5000, 0.5000) [1 per cell]  12 Ti 3.35